The following is a DFT calculation (PBE) of an optimized crystal structure of Hf2ZnCd3.

Unit cell a=3.418 b=3.418 c=9.913 alpha=90.00 beta=90.00 gamma=90.00
Fractional positions:
1 Hf 0.000 0.000 0.000
2 Hf 0.500 0.500 0.478
3 Zn 0.500 0.500 0.155
4 Cd 0.000 0.000 0.304
5 Cd 0.000 0.000 0.657
6 Cd 0.500 0.500 0.819

The energy of formation from the pure elements comes out at 0.15 eV/atom. The spin magnetization comes out at 0.0 μB/f.u. The space group is P4mm, No. 99.